# 1
Density functional theory data (PBE-GGA) for crystalline Sm2Y4Tm5 at its relaxed geometry.

The calculated total energy comes out at -5.133 eV per atom. The crystal system is monoclinic. As for the calculated volume: 356.49 Å³ per cell. The value obtained for the formation energy from the elements is 108 meV/atom.

abc: 3.5152 8.5586 14.1861
angles: 122.39 97.12 90.00
Last column: nearest neighbours and their distance in Å.
Fractional positions:
Y1 0.0402 0.7386 0.0805  4 Tm 3.43-3.55, 7 Y 3.44-3.59
Y2 0.5882 0.4831 0.1763  1 Sm 3.34, 5 Tm 3.49-3.57, 6 Y 3.51-3.59
Y3 0.4118 0.5169 0.8237  1 Sm 3.34, 5 Tm 3.49-3.57, 6 Y 3.51-3.59
Y4 0.9598 0.2614 0.9195  4 Tm 3.43-3.55, 7 Y 3.44-3.59
Tm1 0.1855 0.8979 0.3710  3 Sm 3.49-3.57, 5 Tm 3.52-3.79, 3 Y 3.55-3.56
Tm2 0.1294 0.2122 0.2587  3 Y 3.43-3.57, 3 Sm 3.51-3.56, 5 Tm 3.52-3.79
Tm3 0.5000 0.0000 0.0000  6 Y 3.48-3.49, 6 Tm 3.52-3.54
Tm4 0.8706 0.7878 0.7413  3 Y 3.43-3.57, 3 Sm 3.51-3.56, 5 Tm 3.52-3.79
Tm5 0.8145 0.1021 0.6290  3 Sm 3.49-3.57, 5 Tm 3.52-3.79, 3 Y 3.55-3.56
Sm1 0.7241 0.6200 0.4481  1 Y 3.34, 6 Tm 3.49-3.57, 4 Sm 3.52-3.56
Sm2 0.2759 0.3800 0.5519  1 Y 3.34, 6 Tm 3.49-3.57, 4 Sm 3.52-3.56


# 2
Density functional theory data (PBE-GGA) for crystalline AlGaAgSn at its relaxed geometry.

The calculated total energy comes out at -3.242 eV per atom. The crystal system is cubic. As for the calculated volume: 82.26 Å³ per cell. The value obtained for the formation energy from the elements is 164 meV/atom.

abc: 4.8816 4.8816 4.8816
angles: 60.00 60.00 60.00
Last column: nearest neighbours and their distance in Å.
Fractional positions:
Sn1 0.2500 0.2500 0.2500  4 Ga 2.99, 4 Ag 2.99
Al1 0.7500 0.7500 0.7500  4 Ag 2.99, 4 Ga 2.99
Ag1 0.5000 0.5000 0.5000  4 Sn 2.99, 4 Al 2.99
Ga1 0.0000 0.0000 0.0000  4 Sn 2.99, 4 Al 2.99


# 3
Density functional theory data (PBE-GGA) for crystalline MnCrBPdAu at its relaxed geometry.

The calculated total energy comes out at -6.649 eV per atom. The crystal system is monoclinic. As for the calculated volume: 134.70 Å³ per cell. The value obtained for the formation energy from the elements is 139 meV/atom.

abc: 5.0981 2.8767 10.5658
angles: 90.00 119.63 90.00
Last column: nearest neighbours and their distance in Å.
Fractional positions:
Pd1 0.5449 0.5000 0.3915  2 B 2.20
Pd2 0.5449 0.0000 0.8915  2 B 2.20
Mn1 0.5751 0.0000 0.1781  2 B 2.13
Mn2 0.5751 0.5000 0.6781  2 B 2.13
Au1 0.0999 0.0000 0.4492  2 B 2.71-2.87, 3 Mn 2.79-2.83, 3 Cr 2.79-2.88, 2 Au 2.88, 4 Pd 2.96-2.99
Au2 0.0999 0.5000 0.9492  2 B 2.71-2.87, 3 Mn 2.79-2.83, 3 Cr 2.79-2.88, 2 Au 2.88, 4 Pd 2.96-2.99
B1 0.7088 0.5000 0.0721  2 Mn 2.13, 2 Cr 2.14, 2 Pd 2.20
B2 0.7088 0.0000 0.5721  2 Mn 2.13, 2 Cr 2.14, 2 Pd 2.20
Cr1 0.0643 0.0000 0.1769  2 B 2.14
Cr2 0.0643 0.5000 0.6769  2 B 2.14


# 4
Density functional theory data (PBE-GGA) for crystalline K2Rb8Pd at its relaxed geometry.

The calculated total energy comes out at -1.327 eV per atom. The crystal system is monoclinic. As for the calculated volume: 865.50 Å³ per cell. The value obtained for the formation energy from the elements is 48 meV/atom.

abc: 8.2914 12.7255 12.7255
angles: 43.29 71.53 71.53
Last column: nearest neighbours and their distance in Å.
Fractional positions:
Rb1 0.7034 0.3046 0.8080  1 Pd 3.32
Rb2 0.9225 0.8702 0.8702  1 Pd 3.34
Rb3 0.8612 0.3475 0.3475  2 K 4.65-4.78, 5 Rb 4.77-5.04
Rb4 0.2966 0.6954 0.1920  1 Pd 3.32
Rb5 0.0775 0.1298 0.1298  1 Pd 3.34
Rb6 0.2966 0.1920 0.6954  1 Pd 3.32
Rb7 0.7034 0.8080 0.3046  1 Pd 3.32
Rb8 0.1388 0.6525 0.6525  2 K 4.65-4.78, 5 Rb 4.77-5.04
K1 0.4504 0.2468 0.2468  8 Rb 4.65-4.99, 2 K 4.78
K2 0.5496 0.7532 0.7532  8 Rb 4.65-4.99, 2 K 4.78
Pd1 0.0000 0.0000 0.0000  6 Rb 3.32-3.34


# 5
Density functional theory data (PBE-GGA) for crystalline Pm6HoTm2 at its relaxed geometry.

The calculated total energy comes out at -4.649 eV per atom. The crystal system is triclinic. As for the calculated volume: 296.91 Å³ per cell. The value obtained for the formation energy from the elements is 20 meV/atom.

abc: 3.6025 10.7897 16.8678
angles: 148.53 64.93 119.84
Last column: nearest neighbours and their distance in Å.
Fractional positions:
Ho1 0.0000 0.0000 0.0000  8 Pm 3.57-3.58, 2 Ho 3.60, 2 Tm 3.62
Pm1 0.2209 0.8920 0.5586  10 Pm 3.58-3.66, 2 Tm 3.59
Pm2 0.1107 0.4507 0.7820  3 Tm 3.55-3.58, 2 Ho 3.57-3.58, 7 Pm 3.60-3.66
Pm3 0.6698 0.6735 0.6705  2 Ho 3.57-3.58, 8 Pm 3.58-3.65, 2 Tm 3.60
Pm4 0.7791 0.1080 0.4414  10 Pm 3.58-3.66, 2 Tm 3.59
Pm5 0.3302 0.3265 0.3295  2 Ho 3.57-3.58, 8 Pm 3.58-3.65, 2 Tm 3.60
Pm6 0.8893 0.5493 0.2180  3 Tm 3.55-3.58, 2 Ho 3.57-3.58, 7 Pm 3.60-3.66
Tm1 0.4403 0.7716 0.1082  4 Tm 3.54-3.60, 7 Pm 3.55-3.60, 1 Ho 3.62
Tm2 0.5597 0.2284 0.8918  4 Tm 3.54-3.60, 7 Pm 3.55-3.60, 1 Ho 3.62


# 6
Density functional theory data (PBE-GGA) for crystalline MnCrTe2 at its relaxed geometry.

The calculated total energy comes out at -6.079 eV per atom. The crystal system is monoclinic. As for the calculated volume: 128.42 Å³ per cell.

abc: 3.7279 6.1128 8.1690
angles: 43.62 90.00 90.00
Last column: nearest neighbours and their distance in Å.
Fractional positions:
Te1 0.0000 0.7758 0.4958  2 Mn 2.71, 2 Cr 2.74
Te2 0.0000 0.7242 0.0042  2 Mn 2.71, 2 Cr 2.74
Cr1 0.5000 0.2500 0.2500  4 Te 2.74, 2 Mn 2.82
Mn1 0.5000 0.7500 0.7500  4 Te 2.71, 2 Cr 2.82


# 7
Density functional theory data (PBE-GGA) for crystalline DySF at its relaxed geometry.

The calculated total energy comes out at -6.486 eV per atom. The crystal system is hexagonal. As for the calculated volume: 51.07 Å³ per cell.

abc: 3.8322 3.9228 3.9228
angles: 120.00 90.00 90.00
Last column: nearest neighbours and their distance in Å.
Fractional positions:
F1 0.1668 0.0000 0.0000  3 Dy 2.26
Dy1 0.1665 0.6667 0.3333  3 F 2.26
S1 0.6667 0.3333 0.6667  6 Dy 2.97, 6 F 2.97


# 8
Density functional theory data (PBE-GGA) for crystalline LaZnCu3 at its relaxed geometry.

The calculated total energy comes out at -3.614 eV per atom. The crystal system is cubic. As for the calculated volume: 97.67 Å³ per cell. The value obtained for the formation energy from the elements is 84 meV/atom.

abc: 4.6052 4.6052 4.6052
angles: 90.00 90.00 90.00
Last column: nearest neighbours and their distance in Å.
Fractional positions:
La1 0.5000 0.5000 0.5000  12 Cu 3.26
Cu1 0.0000 0.5000 0.0000  2 Zn 2.30
Cu2 0.0000 0.0000 0.5000  2 Zn 2.30
Cu3 0.5000 0.0000 0.0000  2 Zn 2.30
Zn1 0.0000 0.0000 0.0000  6 Cu 2.30


# 9
Density functional theory data (PBE-GGA) for crystalline Zr2MnPd9 at its relaxed geometry.

The calculated total energy comes out at -6.715 eV per atom. The crystal system is tetragonal. As for the calculated volume: 192.05 Å³ per cell. The value obtained for the formation energy from the elements is -631 meV/atom.

abc: 4.0093 4.0093 11.9474
angles: 90.00 90.00 90.00
Last column: nearest neighbours and their distance in Å.
Fractional positions:
Pd1 0.0000 0.5000 0.5000  8 Pd 2.83-2.84, 4 Zr 2.88
Pd2 0.0000 0.5000 0.1636  2 Zr 2.80, 8 Pd 2.80-2.84, 2 Mn 2.80
Pd3 0.5000 0.0000 0.8364  2 Zr 2.80, 2 Mn 2.80, 8 Pd 2.80-2.84
Pd4 0.5000 0.5000 0.0000  8 Pd 2.80, 4 Mn 2.84
Pd5 0.5000 0.5000 0.6675  8 Pd 2.83-2.84, 4 Zr 2.84
Pd6 0.5000 0.5000 0.3325  8 Pd 2.83-2.84, 4 Zr 2.84
Pd7 0.0000 0.5000 0.8364  2 Zr 2.80, 2 Mn 2.80, 8 Pd 2.80-2.84
Pd8 0.5000 0.0000 0.1636  2 Zr 2.80, 2 Mn 2.80, 8 Pd 2.80-2.84
Pd9 0.5000 0.0000 0.5000  8 Pd 2.83-2.84, 4 Zr 2.88
Mn1 0.0000 0.0000 0.0000  12 Pd 2.80-2.84
Zr1 0.0000 0.0000 0.6729  12 Pd 2.80-2.88
Zr2 0.0000 0.0000 0.3271  12 Pd 2.80-2.88


# 10
Density functional theory data (PBE-GGA) for crystalline TlSb4Au at its relaxed geometry.

The calculated total energy comes out at -3.406 eV per atom. The crystal system is cubic. As for the calculated volume: 176.29 Å³ per cell.

abc: 6.2939 6.2939 6.2939
angles: 60.00 60.00 60.00
Last column: nearest neighbours and their distance in Å.
Fractional positions:
Tl1 0.7500 0.7500 0.7500  12 Sb 3.70, 4 Au 3.85
Sb1 0.3702 0.3702 0.8893  6 Sb 3.03-3.27
Sb2 0.3702 0.8893 0.3702  6 Sb 3.03-3.27
Sb3 0.8893 0.3702 0.3702  6 Sb 3.03-3.27
Sb4 0.3702 0.3702 0.3702  6 Sb 3.03-3.27
Au1 0.0000 0.0000 0.0000  12 Sb 3.68, 4 Tl 3.85


# 11
Density functional theory data (PBE-GGA) for crystalline PrNd2Sm6Y at its relaxed geometry.

The calculated total energy comes out at -4.799 eV per atom. The crystal system is monoclinic. As for the calculated volume: 691.18 Å³ per cell. The value obtained for the formation energy from the elements is 111 meV/atom.

abc: 9.8772 8.9591 8.9591
angles: 118.21 94.29 94.29
Last column: nearest neighbours and their distance in Å.
Fractional positions:
Sm1 0.6202 0.4942 0.7062  4 Sm 3.30-3.61, 3 Nd 3.32-3.52, 2 Y 3.48-3.64
Sm2 0.3141 0.9814 0.4291  2 Sm 3.30-3.65, 1 Nd 3.47, 1 Y 3.51, 1 Pr 3.67
Sm3 0.8798 0.2938 0.5058  4 Sm 3.30-3.61, 3 Nd 3.32-3.52, 2 Y 3.48-3.64
Sm4 0.3798 0.5058 0.2938  4 Sm 3.30-3.61, 3 Nd 3.32-3.52, 2 Y 3.48-3.64
Sm5 0.4443 0.2541 0.8788  7 Sm 3.46-3.86, 1 Nd 3.59, 1 Pr 3.72
Sm6 0.1859 0.5709 0.0186  2 Sm 3.30-3.65, 1 Nd 3.47, 1 Y 3.51, 1 Pr 3.67
Sm7 0.0557 0.1212 0.7459  7 Sm 3.46-3.86, 1 Nd 3.59, 1 Pr 3.72
Sm8 0.8141 0.4291 0.9814  2 Sm 3.30-3.65, 1 Nd 3.47, 1 Y 3.51, 1 Pr 3.67
Sm9 0.1202 0.7062 0.4942  4 Sm 3.30-3.61, 3 Nd 3.32-3.52, 2 Y 3.48-3.64
Sm10 0.6859 0.0186 0.5709  2 Sm 3.30-3.65, 1 Nd 3.47, 1 Y 3.51, 1 Pr 3.67
Sm11 0.9443 0.8788 0.2541  7 Sm 3.46-3.86, 1 Nd 3.59, 1 Pr 3.72
Sm12 0.5557 0.7459 0.1212  7 Sm 3.46-3.86, 1 Nd 3.59, 1 Pr 3.72
Y1 0.7500 0.5922 0.4078  8 Sm 3.48-3.89, 2 Nd 3.61
Y2 0.2500 0.4078 0.5922  8 Sm 3.48-3.89, 2 Nd 3.61
Nd1 0.0426 0.2983 0.1968  5 Sm 3.32-3.59, 2 Pr 3.44-3.45, 1 Y 3.61
Nd2 0.9574 0.7017 0.8032  5 Sm 3.32-3.59, 2 Pr 3.44-3.45, 1 Y 3.61
Nd3 0.5426 0.1968 0.2983  5 Sm 3.32-3.59, 2 Pr 3.44-3.45, 1 Y 3.61
Nd4 0.4574 0.8032 0.7017  5 Sm 3.32-3.59, 2 Pr 3.44-3.45, 1 Y 3.61
Pr1 0.7500 0.0196 0.9804  4 Nd 3.44-3.45, 4 Sm 3.67-3.72
Pr2 0.2500 0.9804 0.0196  4 Nd 3.44-3.45, 4 Sm 3.67-3.72


# 12
Density functional theory data (PBE-GGA) for crystalline MnPb at its relaxed geometry.

The calculated total energy comes out at -5.643 eV per atom. The crystal system is cubic. As for the calculated volume: 494.48 Å³ per cell. The value obtained for the formation energy from the elements is 796 meV/atom.

abc: 7.9077 7.9077 7.9077
angles: 90.00 90.00 90.00
Last column: nearest neighbours and their distance in Å.
Fractional positions:
Pb1 0.2901 0.7099 0.7099  4 Mn 2.58-2.75
Pb2 0.7099 0.7099 0.2901  4 Mn 2.58-2.75
Pb3 0.7901 0.7901 0.7901  4 Mn 2.58-2.75
Pb4 0.7901 0.2099 0.2099  4 Mn 2.58-2.75
Pb5 0.2901 0.2901 0.2901  4 Mn 2.58-2.75
Pb6 0.2099 0.2099 0.7901  4 Mn 2.58-2.75
Pb7 0.7099 0.2901 0.7099  4 Mn 2.58-2.75
Pb8 0.2099 0.7901 0.2099  4 Mn 2.58-2.75
Mn1 0.1021 0.1021 0.1021  3 Mn 2.28
Mn2 0.8979 0.8979 0.1021  3 Mn 2.28
Mn3 0.6021 0.6021 0.6021  3 Mn 2.28
Mn4 0.6021 0.3979 0.3979  3 Mn 2.28
Mn5 0.3979 0.6021 0.3979  3 Mn 2.28
Mn6 0.8979 0.1021 0.8979  3 Mn 2.28
Mn7 0.1021 0.8979 0.8979  3 Mn 2.28
Mn8 0.3979 0.3979 0.6021  3 Mn 2.28


Question: calculated volume of number 10 (TlSb4Au)?
Answer: 176.29 Å³ per cell